Entry 1:
Sc3MnPt4 after structural relaxation. Source: the Alexandria database, functional GGA-PBE.

Summary:
Total moment = 4.63 μB per cell
ΔE_f = -1.04 eV/atom
Uncorrected energy = -7.576 eV per atom
SG = No. 123

Cell: 3.2673 3.2673 12.9263 Å, 90.00 90.00 90.00°
Fractional coordinates of all 8 atoms:
Sc1 0.0000 0.0000 0.0000
Sc2 0.0000 0.0000 0.2611
Sc3 0.0000 0.0000 0.7389
Mn1 0.0000 0.0000 0.5000
Pt1 0.5000 0.5000 0.1304
Pt2 0.5000 0.5000 0.3843
Pt3 0.5000 0.5000 0.6157
Pt4 0.5000 0.5000 0.8696

***

Entry 2:
ScMn2Pt after structural relaxation. Source: the Alexandria database, functional GGA-PBE.

Summary:
Total moment = 0.88 μB per cell
ΔE_f = -0.38 eV/atom
Uncorrected energy = -8.059 eV per atom
SG = No. 216

Cell: 4.4840 4.4840 4.4840 Å, 60.00 60.00 60.00°
Fractional coordinates of all 4 atoms:
Sc1 0.0000 0.0000 0.0000
Mn1 0.2500 0.2500 0.2500
Mn2 0.5000 0.5000 0.5000
Pt1 0.7500 0.7500 0.7500